# RbTeAu

An optimized crystal structure of RbTeAu (PBE, the Alexandria database).

abc: 9.5964 9.5964 6.1634
angles: 108.55 108.55 27.85
With the nearest neighbours (Å) after each atom.
Positions (direct):
Rb: 0.0000 0.0000 0.0000  6 Au 3.47-3.86, 2 Te 3.50-3.51
Rb: 0.2461 0.2461 0.2428  2 Te 3.63
Te: 0.6691 0.6691 0.6663  2 Au 2.69
Te: 0.9052 0.9052 0.4064  2 Au 2.76
Au: 0.0906 0.0906 0.5894  2 Te 2.69, 2 Au 2.90
Au: 0.4911 0.4911 0.4910  2 Te 2.76, 2 Au 2.90

Properties
As for the total DFT energy (no corrections): -3.006 eV/atom. As for the space group: Cm (8).